# BaH2F | Alexandria | PBE-GGA | relaxed
data_BaH2F
_chemical_formula_sum 'Ba4 H8 F4'
_symmetry_space_group_name_H-M 'F m -3 m'
_symmetry_Int_Tables_number 225
_symmetry_space_group_name_Hall '-F 4 2 3'
_cell_length_a 6.079
_cell_length_b 6.079
_cell_length_c 6.079
_cell_angle_alpha 90.00
_cell_angle_beta 90.00
_cell_angle_gamma 90.00
loop_
_atom_site_label
_atom_site_fract_x
_atom_site_fract_y
_atom_site_fract_z
Ba1 0.000 0.000 0.000
H1 0.250 0.250 0.250
F1 0.000 0.000 0.500
# **Energy relative to the lowest polymorph listed for this composition**: 36 kJ/mol of formula units

# LiTlTe2As | Alexandria | PBE-GGA | relaxed
data_LiTlTe2As
_chemical_formula_sum 'Li4 Tl4 Te8 As4'
_symmetry_space_group_name_H-M 'C m m e'
_symmetry_Int_Tables_number 67
_symmetry_space_group_name_Hall '-C 2a 2'
_cell_length_a 5.550
_cell_length_b 15.963
_cell_length_c 6.438
_cell_angle_alpha 90.00
_cell_angle_beta 90.00
_cell_angle_gamma 90.00
loop_
_atom_site_label
_atom_site_fract_x
_atom_site_fract_y
_atom_site_fract_z
Li1 0.250 0.000 0.000
Tl1 0.000 0.250 0.277
Te1 0.000 0.129 0.787
As1 0.000 0.000 0.500
# **Formation energy (no corrections)**: -0.165 eV per atom

| no. | total moment (μB per atom) |
| --- | --- |
| 1 | 0.250 |
| 2 | 0.000 |